[1]
AlCr2F6 | PBE+U | relaxed

* raw total energy: -5.957 eV/atom
* DOS(E_F): 8.1 states/eV/cell

a b c (Å): 10.408 13.624 4.395
angles (deg): 90.00 113.23 90.00
Space group C2/c (No. 15)
One atom of each set of equivalent atoms:
Al  0.000  0.181  0.250 x4
Cr  0.149  0.411  0.144 x8
F  0.104  0.258  0.132 x8
F  0.107  0.114  0.573 x8
F  0.142  0.433  0.639 x8

=====

[2]
AlCrF5 | PBE+U | relaxed

* raw total energy: -6.066 eV/atom
* DOS(E_F): 0.0 states/eV/cell

a b c (Å): 3.654 6.332 7.587
angles (deg): 90.00 90.00 90.00
Space group Immm (No. 71)
One atom of each set of equivalent atoms:
Al  0.000  0.000  0.000 x2
Cr  0.000  0.000  0.500 x2
F  0.000  0.000  0.238 x4
F  0.000  0.290  0.000 x4
F  0.000  0.500  0.500 x2

=====

[3]
AlCr2F8 | PBE+U | relaxed

* raw total energy: -5.961 eV/atom
* DOS(E_F): 5.2 states/eV/cell

a b c (Å): 8.914 6.538 4.405
angles (deg): 90.00 94.11 90.00
Space group C2/m (No. 12)
One atom of each set of equivalent atoms:
Al  0.000  0.000  0.000 x2
Cr  0.128  0.500  0.253 x4
F  0.097  0.500  0.748 x4
F  0.106  0.199  0.222 x8
F  0.152  0.000  0.748 x4

=====

[4]
AlCrGaF6 | PBE+U | relaxed

* raw total energy: -5.598 eV/atom
* DOS(E_F): 0.0 states/eV/cell

a b c (Å): 5.592 9.066 5.491
angles (deg): 90.00 90.85 90.00
Space group C2 (No. 5)
One atom of each set of equivalent atoms:
Al  0.000  0.000  0.000 x2
Cr  0.000  0.337  0.000 x2
Ga  0.000  0.683  0.500 x2
F  0.117  0.155  0.191 x4
F  0.134  0.866  0.205 x4
F  0.215  0.492  0.168 x4

=====

[5]
KAl2CrF8 | PBE+U | relaxed

* raw total energy: -5.566 eV/atom
* DOS(E_F): 17.0 states/eV/cell

a b c (Å): 5.4294 5.4294 22.8490
angles (deg): 90.00 90.00 120.00
Space group R-3 (No. 148, hexagonal axes)
One atom of each set of equivalent atoms:
K  0.0000  0.0000  0.0000 x3
Al  0.0000  0.0000  0.2502 x6
Cr  0.0000  0.0000  0.5000 x3
F  0.0000  0.0000  0.3247 x6
F  0.0222  0.7122  0.7715 x18

=====

[6]
LiAlCrF6 | PBE+U | relaxed

* raw total energy: -5.680 eV/atom
* DOS(E_F): 13.7 states/eV/cell

a b c (Å): 5.2117 5.2117 8.8412
angles (deg): 90.00 90.00 120.00
Space group P-31c (No. 163)
One atom of each set of equivalent atoms:
Li  0.0000  0.0000  0.0000 x2
Al  0.3333  0.6667  0.2500 x2
Cr  0.3333  0.6667  0.7500 x2
F  0.0428  0.3715  0.1343 x12

=====

[7]
MnAlCrF6 | PBE+U | relaxed

* raw total energy: -6.059 eV/atom
* DOS(E_F): 7.7 states/eV/cell

a b c (Å): 5.3983 5.3983 9.7290
angles (deg): 90.00 90.00 120.00
Space group P-31c (No. 163)
One atom of each set of equivalent atoms:
Mn  0.3333  0.6667  0.2500 x2
Al  0.3333  0.6667  0.7500 x2
Cr  0.0000  0.0000  0.0000 x2
F  0.0434  0.3928  0.6442 x12

=====

[8]
AlCrN2F | PBE+U | relaxed

* E above lowest polymorph: 0 meV per atom
* DOS(E_F): 2.7 states/eV/cell

a b c (Å): 3.824 3.824 3.611
angles (deg): 90.00 90.00 90.00
Space group P4/mmm (No. 123)
One atom of each set of equivalent atoms:
Al  0.000  0.000  0.000 x1
Cr  0.500  0.500  0.500 x1
N  0.000  0.500  0.000 x2
F  0.000  0.000  0.500 x1

=====

[9]
AlCrN2F | PBE+U | relaxed

* E above lowest polymorph: 457 meV per atom
* DOS(E_F): 1.6 states/eV/cell

a b c (Å): 3.895 3.895 3.745
angles (deg): 90.00 90.00 90.00
Space group P4/mmm (No. 123)
One atom of each set of equivalent atoms:
Al  0.000  0.000  0.000 x1
Cr  0.500  0.500  0.500 x1
N  0.000  0.500  0.500 x2
F  0.500  0.500  0.000 x1

=====

[10]
Na2AlCrF6 | PBE+U | relaxed

* raw total energy: -5.320 eV/atom

a b c (Å): 5.472 5.594 5.598
angles (deg): 98.44 112.70 112.89
Space group P-1 (No. 2)
One atom of each set of equivalent atoms:
Na  0.010  0.227  0.285 x2
Al  0.500  0.000  0.500 x1
Cr  0.500  0.500  0.000 x1
F  0.159  0.874  0.173 x2
F  0.319  0.686  0.567 x2
F  0.339  0.161  0.669 x2

=====

[11]
NbAl2CrF | PBE+U | relaxed

* raw total energy: -5.185 eV/atom
* DOS(E_F): 3.0 states/eV/cell

a b c (Å): 5.140 5.140 3.601
angles (deg): 90.00 90.00 90.00
Space group P4/mmm (No. 123)
One atom of each set of equivalent atoms:
Nb  0.000  0.000  0.000 x1
Al  0.000  0.500  0.500 x2
Cr  0.500  0.500  0.500 x1
F  0.500  0.500  0.000 x1

=====

[12]
AlCrOs2F | PBE+U | relaxed

* raw total energy: -6.219 eV/atom
* DOS(E_F): 4.2 states/eV/cell

a b c (Å): 4.473 4.473 3.721
angles (deg): 90.00 90.00 90.00
Space group P4/mmm (No. 123)
One atom of each set of equivalent atoms:
Al  0.000  0.000  0.000 x1
Cr  0.500  0.500  0.000 x1
Os  0.000  0.500  0.500 x2
F  0.500  0.500  0.500 x1